1.
VASP calculation (PBEsol) on a geometry-optimized Cd3In structure.

Summary:
DFT total energy   -1.6019 eV/atom
Calculated formation energy   0.042 eV per atom
N(E_F)   0.368 states/eV per atom

Cell lengths 3.0627, 10.5928, 5.4556 Å; angles 90.00, 90.00, 90.00 degrees
Closest atoms and distances in Å follow each position.
Sites, in units of the cell vectors:
1 Cd 0.0000 0.0000 0.0000  8 Cd 3.06-3.33, 4 In 3.09-3.17
2 Cd 0.0000 0.2581 0.3482  9 Cd 3.06-3.33, 3 In 3.22-3.23
3 Cd 0.0000 0.7419 0.3482  9 Cd 3.06-3.33, 3 In 3.22-3.23
4 Cd 0.5000 0.2419 0.8482  9 Cd 3.06-3.33, 3 In 3.22-3.23
5 Cd 0.5000 0.5000 0.5000  8 Cd 3.06-3.33, 4 In 3.09-3.17
6 Cd 0.5000 0.7581 0.8482  9 Cd 3.06-3.33, 3 In 3.22-3.23
7 In 0.0000 0.5000 0.9915  2 In 3.06, 10 Cd 3.09-3.23
8 In 0.5000 0.0000 0.4915  2 In 3.06, 10 Cd 3.09-3.23

=====

2.
VASP calculation (PBEsol) on a geometry-optimized Cd3In structure.

Summary:
DFT total energy   -1.6239 eV/atom
Calculated formation energy   0.020 eV per atom
N(E_F)   0.348 states/eV per atom

Cell lengths 3.0968, 4.4199, 6.3884 Å; angles 90.00, 90.00, 90.00 degrees
Closest atoms and distances in Å follow each position.
Sites, in units of the cell vectors:
1 Cd 0.0000 0.0000 0.0000  10 Cd 3.10-3.11, 2 In 3.19
2 Cd 0.5000 0.5000 0.2406  8 Cd 3.07-3.31, 4 In 3.17
3 Cd 0.5000 0.5000 0.7594  8 Cd 3.07-3.31, 4 In 3.17
4 In 0.0000 0.0000 0.5000  2 In 3.10, 10 Cd 3.17-3.19

=====

3.
VASP calculation (PBEsol) on a geometry-optimized CdIn2 structure.

Summary:
DFT total energy   -2.3602 eV/atom
Calculated formation energy   0.027 eV per atom
N(E_F)   0.387 states/eV per atom

Cell lengths 3.1778, 3.1778, 28.6237 Å; angles 90.00, 90.00, 90.00 degrees
Closest atoms and distances in Å follow each position.
Sites, in units of the cell vectors:
1 Cd 0.0000 0.2500 0.3750  8 In 3.17, 4 Cd 3.18
2 Cd 0.0000 0.7500 0.6250  8 In 3.17, 4 Cd 3.18
3 Cd 0.5000 0.2500 0.1250  8 In 3.17, 4 Cd 3.18
4 Cd 0.5000 0.7500 0.8750  8 In 3.17, 4 Cd 3.18
5 In 0.0000 0.2500 0.7971  6 In 3.13-3.18, 4 Cd 3.17
6 In 0.0000 0.2500 0.9529  6 In 3.13-3.18, 4 Cd 3.17
7 In 0.0000 0.7500 0.0471  6 In 3.13-3.18, 4 Cd 3.17
8 In 0.0000 0.7500 0.2029  6 In 3.13-3.18, 4 Cd 3.17
9 In 0.5000 0.2500 0.5471  6 In 3.13-3.18, 4 Cd 3.17
10 In 0.5000 0.2500 0.7029  6 In 3.13-3.18, 4 Cd 3.17
11 In 0.5000 0.7500 0.2971  6 In 3.13-3.18, 4 Cd 3.17
12 In 0.5000 0.7500 0.4529  6 In 3.13-3.18, 4 Cd 3.17

=====

4.
VASP calculation (PBEsol) on a geometry-optimized Cd3In structure.

Summary:
DFT total energy   -1.6037 eV/atom
Calculated formation energy   0.040 eV per atom
N(E_F)   0.401 states/eV per atom

Cell lengths 2.8918, 5.5697, 5.5675 Å; angles 90.00, 90.00, 90.00 degrees
Closest atoms and distances in Å follow each position.
Sites, in units of the cell vectors:
1 Cd 0.0000 0.0000 0.0000  6 Cd 2.89-3.14, 4 In 3.14
2 Cd 0.0000 0.5000 0.4901  6 Cd 2.89-3.14, 4 In 3.14
3 Cd 0.5000 0.0000 0.4994  10 Cd 2.89-3.14
4 In 0.5000 0.5000 0.9899  2 In 2.89, 8 Cd 3.14

=====

5.
VASP calculation (PBEsol) on a geometry-optimized CdIn3 structure.

Summary:
DFT total energy   -2.5157 eV/atom
Calculated formation energy   0.021 eV per atom
N(E_F)   0.433 states/eV per atom

Cell lengths 3.2575, 4.4917, 6.6015 Å; angles 90.00, 90.00, 90.00 degrees
Closest atoms and distances in Å follow each position.
Sites, in units of the cell vectors:
1 Cd 0.0000 0.0000 0.0000  10 In 3.20-3.30, 2 Cd 3.26
2 In 0.0000 0.0000 0.5000  10 In 3.25-3.26, 2 Cd 3.30
3 In 0.5000 0.5000 0.2427  4 Cd 3.20, 8 In 3.20-3.40
4 In 0.5000 0.5000 0.7573  4 Cd 3.20, 8 In 3.20-3.40

=====

6.
VASP calculation (PBEsol) on a geometry-optimized Cd4In structure.

Summary:
DFT total energy   -1.2874 eV/atom
Calculated formation energy   0.267 eV per atom
N(E_F)   0.353 states/eV per atom

Cell lengths 6.4545, 6.4545, 6.4545 Å; angles 90.00, 90.00, 90.00 degrees
Closest atoms and distances in Å follow each position.
Sites, in units of the cell vectors:
1 Cd 0.2500 0.2500 0.2500  2 In 2.79
2 Cd 0.2500 0.2500 0.7500  2 In 2.79
3 Cd 0.2500 0.7500 0.2500  2 In 2.79
4 Cd 0.2500 0.7500 0.7500  2 In 2.79
5 Cd 0.7500 0.2500 0.2500  2 In 2.79
6 Cd 0.7500 0.2500 0.7500  2 In 2.79
7 Cd 0.7500 0.7500 0.2500  2 In 2.79
8 Cd 0.7500 0.7500 0.7500  2 In 2.79
9 In 0.0000 0.0000 0.0000  8 Cd 2.79
10 In 0.5000 0.5000 0.5000  8 Cd 2.79

=====

7.
VASP calculation (PBEsol) on a geometry-optimized CdIn3 structure.

Summary:
DFT total energy   -2.4921 eV/atom
Calculated formation energy   0.044 eV per atom
N(E_F)   0.377 states/eV per atom

Cell lengths 7.3288, 7.3288, 7.3288 Å; angles 90.00, 90.00, 90.00 degrees
Closest atoms and distances in Å follow each position.
Sites, in units of the cell vectors:
1 Cd 0.0000 0.0000 0.0000  8 In 3.17
2 Cd 0.0000 0.5000 0.5000  8 In 3.17
3 Cd 0.5000 0.0000 0.5000  8 In 3.17
4 Cd 0.5000 0.5000 0.0000  8 In 3.17
5 In 0.0000 0.0000 0.5000  8 In 3.17
6 In 0.0000 0.5000 0.0000  8 In 3.17
7 In 0.2500 0.2500 0.2500  4 Cd 3.17, 4 In 3.17
8 In 0.2500 0.2500 0.7500  4 Cd 3.17, 4 In 3.17
9 In 0.2500 0.7500 0.2500  4 Cd 3.17, 4 In 3.17
10 In 0.2500 0.7500 0.7500  4 Cd 3.17, 4 In 3.17
11 In 0.5000 0.0000 0.0000  8 In 3.17
12 In 0.5000 0.5000 0.5000  8 In 3.17
13 In 0.7500 0.2500 0.2500  4 Cd 3.17, 4 In 3.17
14 In 0.7500 0.2500 0.7500  4 Cd 3.17, 4 In 3.17
15 In 0.7500 0.7500 0.2500  4 Cd 3.17, 4 In 3.17
16 In 0.7500 0.7500 0.7500  4 Cd 3.17, 4 In 3.17

=====

8.
VASP calculation (PBEsol) on a geometry-optimized Cd2InIr structure.

Summary:
DFT total energy   -3.6785 eV/atom
Calculated formation energy   0.122 eV per atom
N(E_F)   0.371 states/eV per atom

Cell lengths 6.6123, 6.6123, 6.6123 Å; angles 90.00, 90.00, 90.00 degrees
Closest atoms and distances in Å follow each position.
Sites, in units of the cell vectors:
1 Cd 0.0000 0.0000 0.0000  4 Cd 2.86, 4 In 2.86
2 Cd 0.0000 0.5000 0.5000  4 Cd 2.86, 4 In 2.86
3 Cd 0.2500 0.2500 0.2500  4 Cd 2.86, 4 Ir 2.86
4 Cd 0.2500 0.7500 0.7500  4 Ir 2.86, 4 Cd 2.86
5 Cd 0.5000 0.0000 0.5000  4 Cd 2.86, 4 In 2.86
6 Cd 0.5000 0.5000 0.0000  4 Cd 2.86, 4 In 2.86
7 Cd 0.7500 0.2500 0.7500  4 Ir 2.86, 4 Cd 2.86
8 Cd 0.7500 0.7500 0.2500  4 Ir 2.86, 4 Cd 2.86
9 In 0.2500 0.2500 0.7500  4 Cd 2.86, 4 Ir 2.86
10 In 0.2500 0.7500 0.2500  4 Cd 2.86, 4 Ir 2.86
11 In 0.7500 0.2500 0.2500  4 Cd 2.86, 4 Ir 2.86
12 In 0.7500 0.7500 0.7500  4 Cd 2.86, 4 Ir 2.86
13 Ir 0.0000 0.0000 0.5000  4 In 2.86, 4 Cd 2.86
14 Ir 0.0000 0.5000 0.0000  4 In 2.86, 4 Cd 2.86
15 Ir 0.5000 0.0000 0.0000  4 In 2.86, 4 Cd 2.86
16 Ir 0.5000 0.5000 0.5000  4 In 2.86, 4 Cd 2.86

=====

9.
VASP calculation (PBEsol) on a geometry-optimized Cd2InIr structure.

Summary:
DFT total energy   -3.6382 eV/atom
Calculated formation energy   0.162 eV per atom
N(E_F)   0.379 states/eV per atom

Cell lengths 5.6318, 8.3127, 3.1233 Å; angles 90.00, 90.00, 90.00 degrees
Closest atoms and distances in Å follow each position.
Sites, in units of the cell vectors:
1 Cd 0.2500 0.2500 0.0000  4 Cd 2.82-3.12, 4 In 2.96, 4 Ir 2.96
2 Cd 0.2500 0.7500 0.0000  4 Cd 2.82-3.12, 4 In 2.96, 4 Ir 2.96
3 Cd 0.7500 0.2500 0.0000  4 Cd 2.82-3.12, 4 In 2.96, 4 Ir 2.96
4 Cd 0.7500 0.7500 0.0000  4 Cd 2.82-3.12, 4 In 2.96, 4 Ir 2.96
5 In 0.0000 0.0000 0.5000  2 Ir 2.82, 8 Cd 2.96, 2 In 3.12
6 In 0.5000 0.5000 0.5000  2 Ir 2.82, 8 Cd 2.96, 2 In 3.12
7 Ir 0.0000 0.5000 0.5000  2 In 2.82, 8 Cd 2.96, 2 Ir 3.12
8 Ir 0.5000 0.0000 0.5000  2 In 2.82, 8 Cd 2.96, 2 Ir 3.12

=====

10.
VASP calculation (PBEsol) on a geometry-optimized CdIn3Ir structure.

Summary:
DFT total energy   -3.9737 eV/atom
Calculated formation energy   0.020 eV per atom
N(E_F)   0.311 states/eV per atom

Cell lengths 5.1268, 5.1268, 5.1268 Å; angles 90.00, 90.00, 90.00 degrees
Closest atoms and distances in Å follow each position.
Sites, in units of the cell vectors:
1 Cd 0.0000 0.0000 0.0000  12 In 3.63
2 In 0.0000 0.5000 0.5000  2 Ir 2.56
3 In 0.5000 0.0000 0.5000  2 Ir 2.56
4 In 0.5000 0.5000 0.0000  2 Ir 2.56
5 Ir 0.5000 0.5000 0.5000  6 In 2.56

=====

11.
VASP calculation (PBEsol) on a geometry-optimized CdInIr2 structure.

Summary:
DFT total energy   -5.7026 eV/atom
Calculated formation energy   0.254 eV per atom
N(E_F)   1.160 states/eV per atom

Cell lengths 4.0317, 4.0317, 8.1231 Å; angles 90.00, 90.00, 90.00 degrees
Closest atoms and distances in Å follow each position.
Sites, in units of the cell vectors:
1 Cd 0.0000 0.0000 0.0000  8 Ir 2.85-2.86, 4 In 2.86
2 Cd 0.5000 0.5000 0.5000  8 Ir 2.85-2.86, 4 In 2.86
3 In 0.0000 0.5000 0.2500  8 Ir 2.85-2.86, 4 Cd 2.86
4 In 0.5000 0.0000 0.7500  8 Ir 2.85-2.86, 4 Cd 2.86
5 Ir 0.0000 0.0000 0.5000  4 Cd 2.85, 4 In 2.86, 4 Ir 2.86
6 Ir 0.0000 0.5000 0.7500  4 In 2.85, 4 Cd 2.86, 4 Ir 2.86
7 Ir 0.5000 0.0000 0.2500  4 In 2.85, 4 Cd 2.86, 4 Ir 2.86
8 Ir 0.5000 0.5000 0.0000  4 Cd 2.85, 4 In 2.86, 4 Ir 2.86

=====

12.
VASP calculation (PBEsol) on a geometry-optimized Cd2InIr structure.

Summary:
DFT total energy   -3.8351 eV/atom
Calculated formation energy   -0.035 eV per atom
N(E_F)   0.285 states/eV per atom

Cell lengths 2.9366, 4.5056, 12.3237 Å; angles 90.00, 90.00, 90.00 degrees
Closest atoms and distances in Å follow each position.
Sites, in units of the cell vectors:
1 Cd 0.0000 0.0000 0.1934  2 Ir 2.80, 6 Cd 2.94-3.03
2 Cd 0.0000 0.0000 0.8066  2 Ir 2.80, 6 Cd 2.94-3.03
3 Cd 0.5000 0.5000 0.3066  2 Ir 2.80, 6 Cd 2.94-3.03
4 Cd 0.5000 0.5000 0.6934  2 Ir 2.80, 6 Cd 2.94-3.03
5 In 0.0000 0.5000 0.0000  4 Ir 2.69, 2 In 2.94
6 In 0.5000 0.0000 0.5000  4 Ir 2.69, 2 In 2.94
7 Ir 0.0000 0.5000 0.5000  4 In 2.69, 4 Cd 2.80, 2 Ir 2.94
8 Ir 0.5000 0.0000 0.0000  4 In 2.69, 4 Cd 2.80, 2 Ir 2.94

=====

The lowest N(E_F) belongs to which entry?
number 12